Record 1
# Ac2HgIrC (PBE, relaxed)
data_Ac2HgIrC
_symmetry_space_group_name_H-M 'P 1'
_symmetry_Int_Tables_number 1
_symmetry_space_group_name_Hall 'P 1'
_cell_length_a 5.693
_cell_length_b 5.693
_cell_length_c 3.921
_cell_angle_alpha 90.00
_cell_angle_beta 90.00
_cell_angle_gamma 90.00
loop_
_atom_site_label
_atom_site_fract_x
_atom_site_fract_y
_atom_site_fract_z
Ac1 0.000 0.500 0.000
Ac2 0.500 0.000 0.000
Hg1 0.000 0.000 0.500
Ir1 0.500 0.500 0.500
C1 0.500 0.500 0.000
# - symmetry = P4/mmm (123)
# - DFT formation energy (meV/atom) = -420
# - E (eV per atom) = -5.741


Record 2
# AcHgCN2 (PBE, relaxed)
data_AcHgCN2
_symmetry_space_group_name_H-M 'P 1'
_symmetry_Int_Tables_number 1
_symmetry_space_group_name_Hall 'P 1'
_cell_length_a 5.429
_cell_length_b 4.179
_cell_length_c 8.872
_cell_angle_alpha 90.00
_cell_angle_beta 91.40
_cell_angle_gamma 90.00
loop_
_atom_site_label
_atom_site_fract_x
_atom_site_fract_y
_atom_site_fract_z
Ac1 0.127 0.250 0.205
Ac2 0.873 0.750 0.795
Hg1 0.291 0.750 0.520
Hg2 0.709 0.250 0.480
C1 0.376 0.250 0.869
C2 0.624 0.750 0.131
N1 0.150 0.250 0.893
N2 0.401 0.750 0.150
N3 0.599 0.250 0.850
N4 0.850 0.750 0.107
# - symmetry = P2_1/m (11)
# - formation energy from raw total energies (eV/atom) = -0.592
# - E (eV per atom) = -6.649


Record 3
# Ac2HgCO6 (PBE, relaxed)
data_Ac2HgCO6
_symmetry_space_group_name_H-M 'P 1'
_symmetry_Int_Tables_number 1
_symmetry_space_group_name_Hall 'P 1'
_cell_length_a 6.218
_cell_length_b 5.776
_cell_length_c 11.977
_cell_angle_alpha 90.00
_cell_angle_beta 111.97
_cell_angle_gamma 90.00
loop_
_atom_site_label
_atom_site_fract_x
_atom_site_fract_y
_atom_site_fract_z
Ac1 0.238 0.027 0.247
Ac2 0.238 0.473 0.747
Ac3 0.762 0.527 0.253
Ac4 0.762 0.973 0.753
Hg1 0.500 0.000 0.000
Hg2 0.500 0.500 0.500
C1 0.000 0.000 0.500
C2 0.000 0.500 0.000
O1 0.098 0.739 0.334
O2 0.098 0.761 0.834
O3 0.100 0.158 0.480
O4 0.100 0.342 0.980
O5 0.469 0.675 0.642
O6 0.469 0.825 0.142
O7 0.531 0.175 0.858
O8 0.531 0.325 0.358
O9 0.900 0.658 0.020
O10 0.900 0.842 0.520
O11 0.902 0.239 0.166
O12 0.902 0.261 0.666
# - symmetry = P2_1/c (14)
# - formation energy from raw total energies (eV/atom) = -1.920
# - E (eV per atom) = -6.669


Record 4
# Ac3HgC4O12 (PBE, relaxed)
data_Ac3HgC4O12
_symmetry_space_group_name_H-M 'P 1'
_symmetry_Int_Tables_number 1
_symmetry_space_group_name_Hall 'P 1'
_cell_length_a 7.042
_cell_length_b 7.042
_cell_length_c 7.042
_cell_angle_alpha 95.21
_cell_angle_beta 95.21
_cell_angle_gamma 95.21
loop_
_atom_site_label
_atom_site_fract_x
_atom_site_fract_y
_atom_site_fract_z
Ac1 0.000 0.527 0.473
Ac2 0.473 0.000 0.527
Ac3 0.527 0.473 0.000
Hg1 0.000 0.000 0.000
C1 0.010 0.500 0.990
C2 0.500 0.500 0.500
C3 0.500 0.990 0.010
C4 0.990 0.010 0.500
O1 0.051 0.187 0.492
O2 0.117 0.883 0.500
O3 0.187 0.492 0.051
O4 0.373 0.627 0.500
O5 0.492 0.051 0.187
O6 0.500 0.117 0.883
O7 0.500 0.373 0.627
O8 0.508 0.813 0.949
O9 0.627 0.500 0.373
O10 0.813 0.949 0.508
O11 0.883 0.500 0.117
O12 0.949 0.508 0.813
# - symmetry = R32 (155)
# - formation energy from raw total energies (eV/atom) = -2.048
# - E (eV per atom) = -7.500


Record 5
# Ac2HgOsC (PBE, relaxed)
data_Ac2HgOsC
_symmetry_space_group_name_H-M 'P 1'
_symmetry_Int_Tables_number 1
_symmetry_space_group_name_Hall 'P 1'
_cell_length_a 5.637
_cell_length_b 5.637
_cell_length_c 3.968
_cell_angle_alpha 90.00
_cell_angle_beta 90.00
_cell_angle_gamma 90.00
loop_
_atom_site_label
_atom_site_fract_x
_atom_site_fract_y
_atom_site_fract_z
Ac1 0.000 0.500 0.000
Ac2 0.500 0.000 0.000
Hg1 0.000 0.000 0.500
Os1 0.500 0.500 0.500
C1 0.500 0.500 0.000
# - symmetry = P4/mmm (123)
# - DFT formation energy (meV/atom) = -231
# - E (eV per atom) = -6.026


Record 6
# AcHo3C (PBE, relaxed)
data_AcHo3C
_symmetry_space_group_name_H-M 'P 1'
_symmetry_Int_Tables_number 1
_symmetry_space_group_name_Hall 'P 1'
_cell_length_a 5.106
_cell_length_b 5.106
_cell_length_c 5.106
_cell_angle_alpha 90.00
_cell_angle_beta 90.00
_cell_angle_gamma 90.00
loop_
_atom_site_label
_atom_site_fract_x
_atom_site_fract_y
_atom_site_fract_z
Ac1 0.000 0.000 0.000
Ho1 0.000 0.500 0.500
Ho2 0.500 0.000 0.500
Ho3 0.500 0.500 0.000
C1 0.500 0.500 0.500
# - symmetry = Pm-3m (221)
# - DFT formation energy (meV/atom) = 29
# - E (eV per atom) = -5.384


Record 7
# Ac2HoC (PBE, relaxed)
data_Ac2HoC
_symmetry_space_group_name_H-M 'P 1'
_symmetry_Int_Tables_number 1
_symmetry_space_group_name_Hall 'P 1'
_cell_length_a 6.260
_cell_length_b 6.260
_cell_length_c 11.995
_cell_angle_alpha 90.00
_cell_angle_beta 90.00
_cell_angle_gamma 120.00
loop_
_atom_site_label
_atom_site_fract_x
_atom_site_fract_y
_atom_site_fract_z
Ac1 0.000 0.000 0.202
Ac2 0.000 0.000 0.798
Ac3 0.333 0.667 0.465
Ac4 0.333 0.667 0.868
Ac5 0.667 0.333 0.132
Ac6 0.667 0.333 0.535
Ho1 0.000 0.000 0.500
Ho2 0.333 0.667 0.167
Ho3 0.667 0.333 0.833
C1 0.000 0.000 0.000
C2 0.333 0.667 0.667
C3 0.667 0.333 0.333
# - symmetry = R-3m (166)
# - DFT formation energy (meV/atom) = 1042
# - E (eV per atom) = -4.463


Record 8
# AcHoC (PBE, relaxed)
data_AcHoC
_symmetry_space_group_name_H-M 'P 1'
_symmetry_Int_Tables_number 1
_symmetry_space_group_name_Hall 'P 1'
_cell_length_a 3.731
_cell_length_b 6.857
_cell_length_c 12.407
_cell_angle_alpha 90.00
_cell_angle_beta 90.00
_cell_angle_gamma 90.00
loop_
_atom_site_label
_atom_site_fract_x
_atom_site_fract_y
_atom_site_fract_z
Ac1 0.249 0.168 0.248
Ac2 0.251 0.832 0.748
Ac3 0.749 0.332 0.752
Ac4 0.751 0.668 0.252
Ho1 0.248 0.455 0.005
Ho2 0.252 0.545 0.505
Ho3 0.748 0.045 0.995
Ho4 0.752 0.955 0.495
C1 0.248 0.172 0.889
C2 0.252 0.828 0.389
C3 0.748 0.328 0.111
C4 0.752 0.672 0.611
# - symmetry = P2_12_12_1 (19)
# - DFT formation energy (meV/atom) = -47
# - energy relative to the lowest polymorph listed for this composition (meV per atom) = 0.0
# - E (eV per atom) = -6.017


Record 9
# AcHo2C (PBE, relaxed)
data_AcHo2C
_symmetry_space_group_name_H-M 'P 1'
_symmetry_Int_Tables_number 1
_symmetry_space_group_name_Hall 'P 1'
_cell_length_a 3.597
_cell_length_b 3.597
_cell_length_c 30.420
_cell_angle_alpha 90.00
_cell_angle_beta 90.00
_cell_angle_gamma 120.00
loop_
_atom_site_label
_atom_site_fract_x
_atom_site_fract_y
_atom_site_fract_z
Ac1 0.000 0.000 0.000
Ac2 0.333 0.667 0.667
Ac3 0.667 0.333 0.333
Ho1 0.000 0.000 0.123
Ho2 0.000 0.000 0.877
Ho3 0.333 0.667 0.544
Ho4 0.333 0.667 0.790
Ho5 0.667 0.333 0.210
Ho6 0.667 0.333 0.456
C1 0.000 0.000 0.500
C2 0.333 0.667 0.167
C3 0.667 0.333 0.833
# - symmetry = R-3m (166)
# - DFT formation energy (meV/atom) = -85
# - E (eV per atom) = -5.707


Record 10
# AcHoC (PBE, relaxed)
data_AcHoC
_symmetry_space_group_name_H-M 'P 1'
_symmetry_Int_Tables_number 1
_symmetry_space_group_name_Hall 'P 1'
_cell_length_a 3.332
_cell_length_b 3.332
_cell_length_c 12.818
_cell_angle_alpha 90.00
_cell_angle_beta 90.00
_cell_angle_gamma 90.00
loop_
_atom_site_label
_atom_site_fract_x
_atom_site_fract_y
_atom_site_fract_z
Ac1 0.000 0.000 0.000
Ac2 0.500 0.500 0.500
Ho1 0.000 0.000 0.775
Ho2 0.500 0.500 0.275
C1 0.000 0.000 0.375
C2 0.500 0.500 0.875
# - symmetry = I4mm (107)
# - DFT formation energy (meV/atom) = 436
# - energy relative to the lowest polymorph listed for this composition (meV per atom) = 483.7
# - E (eV per atom) = -5.534


Record 11
# AcHoC (PBE, relaxed)
data_AcHoC
_symmetry_space_group_name_H-M 'P 1'
_symmetry_Int_Tables_number 1
_symmetry_space_group_name_Hall 'P 1'
_cell_length_a 3.728
_cell_length_b 3.728
_cell_length_c 6.734
_cell_angle_alpha 90.00
_cell_angle_beta 90.00
_cell_angle_gamma 120.00
loop_
_atom_site_label
_atom_site_fract_x
_atom_site_fract_y
_atom_site_fract_z
Ac1 0.000 0.000 0.000
Ho1 0.333 0.667 0.424
C1 0.667 0.333 0.253
# - symmetry = P3m1 (156)
# - DFT formation energy (meV/atom) = -46
# - energy relative to the lowest polymorph listed for this composition (meV per atom) = 0.8
# - E (eV per atom) = -6.016


| no. | magnetic moment (μB/f.u.) |
| --- | --- |
| 1 | 0.00 |
| 2 | 0.00 |
| 3 | 0.00 |
| 4 | 0.27 |
| 5 | 0.00 |
| 6 | 0.00 |
| 7 | 0.00 |
| 8 | 0.00 |
| 9 | 0.00 |
| 10 | 0.00 |
| 11 | 0.00 |